1.
The following is a PBE-GGA calculation of a relaxed structure of Ga2Hg2Sb, from Alexandria.

Cell lengths 8.6238, 8.6238, 3.2165 Å; angles 90.00, 90.00, 90.00 degrees
Closest atoms and distances in Å follow each position.
Atoms (fractional coordinates):
1 Ga 0.1194 0.3806 0.0000  3 Ga 2.91-3.22, 6 Hg 2.94-3.07
2 Ga 0.3806 0.8806 0.0000  3 Ga 2.91-3.22, 6 Hg 2.94-3.07
3 Ga 0.6194 0.1194 0.0000  3 Ga 2.91-3.22, 6 Hg 2.94-3.07
4 Ga 0.8806 0.6194 0.0000  3 Ga 2.91-3.22, 6 Hg 2.94-3.07
5 Hg 0.1785 0.6785 0.5000  6 Ga 2.94-3.07, 2 Sb 3.17, 2 Hg 3.22
6 Hg 0.3215 0.1785 0.5000  6 Ga 2.94-3.07, 2 Sb 3.17, 2 Hg 3.22
7 Hg 0.6785 0.8215 0.5000  6 Ga 2.94-3.07, 2 Sb 3.17, 2 Hg 3.22
8 Hg 0.8215 0.3215 0.5000  6 Ga 2.94-3.07, 2 Sb 3.17, 2 Hg 3.22
9 Sb 0.0000 0.0000 0.5000  4 Hg 3.17, 2 Sb 3.22
10 Sb 0.5000 0.5000 0.5000  4 Hg 3.17, 2 Sb 3.22

## Properties
The uncorrected formation energy comes out at 117 meV per atom. The space group is No. 127. For the calculated total energy, the calculation gives -0.14987 Ry/atom. The value obtained for the magnetization is 0.00 μB/f.u. Its density of states at the Fermi level is 2.0 states/eV/f.u.


2.
The following is a PBE-GGA calculation of a relaxed structure of Rb3SrTa, from Alexandria.

Cell lengths 7.7590, 7.7590, 7.7590 Å; angles 90.00, 90.00, 90.00 degrees
Closest atoms and distances in Å follow each position.
Atoms (fractional coordinates):
1 Rb 0.0000 0.0000 0.5000  2 Sr 3.88
2 Rb 0.0000 0.5000 0.0000  2 Sr 3.88
3 Rb 0.5000 0.0000 0.0000  2 Sr 3.88
4 Sr 0.0000 0.0000 0.0000  6 Rb 3.88
5 Ta 0.5000 0.5000 0.5000  12 Rb 5.49

## Properties
The space group is No. 221. For the calculated total energy, the calculation gives -0.10723 Ry/atom. The value obtained for the magnetization is 4.33 μB/f.u. Its density of states at the Fermi level is 12.4 states/eV/f.u. The value obtained for the formation energy is 1828 meV per atom.


- Among the records above, which one has the lowest calculated total energy?
  Ga2Hg2Sb


- Which value of magnetization does entry 2 give?
  4.33 μB/f.u.